# 1
First-principles (PBE-GGA) data for a relaxed Ti4Co2Pt3 crystal, as listed in Alexandria via LeMat-Bulk.

It has space group C2/m (No. 12), with a = 8.540 Å, b = 3.810 Å, c = 8.283 Å, α = 90.00°, β = 101.90° and γ = 90.00°. The asymmetric unit holds Ti at (0.030, 0.000, 0.334), Ti at (0.171, 0.500, 0.883), Co at (0.173, 0.500, 0.209), Pt at (0.000, 0.000, 0.000) and Pt at (0.161, 0.500, 0.568).

The calculation puts the formation enthalpy at 0 K at -0.657 eV per atom.

# 2
First-principles (PBE-GGA) data for a relaxed Sr2SiTeIr crystal, as listed in Alexandria via LeMat-Bulk.

It has space group P4/mmm (No. 123), with a = 5.865 Å, b = 5.865 Å, c = 4.544 Å, α = 90.00°, β = 90.00° and γ = 90.00°. The asymmetric unit holds Sr at (0.000, 0.500, 0.000), Si at (0.000, 0.000, 0.500), Te at (0.500, 0.500, 0.500) and Ir at (0.000, 0.000, 0.000).

As for the formation energy from raw total energies: -0.734 eV per atom.

# 3
First-principles (PBE-GGA) data for a relaxed Ba6Tl2Ga crystal, as listed in Alexandria via LeMat-Bulk.

It has space group P2_1/c (No. 14), with a = 8.098 Å, b = 9.576 Å, c = 13.073 Å, α = 90.00°, β = 119.78° and γ = 90.00°. The asymmetric unit holds Ba at (0.102, 0.039, 0.242), Ba at (0.215, 0.680, 0.067), Ba at (0.397, 0.174, 0.059), Tl at (0.309, 0.119, 0.755) and Ga at (0.500, 0.000, 0.500).

The calculation puts the formation enthalpy at 0 K at -0.205 eV per atom.

# 4
First-principles (PBE-GGA) data for a relaxed Hg3IrC crystal, as listed in Alexandria via LeMat-Bulk.

It has space group Pm-3m (No. 221), with a = 5.264 Å, b = 5.264 Å, c = 5.264 Å, α = 90.00°, β = 90.00° and γ = 90.00°. The asymmetric unit holds Hg at (0.000, 0.000, 0.500), Ir at (0.000, 0.000, 0.000) and C at (0.500, 0.500, 0.500).

The calculation puts the formation enthalpy at 0 K at 1.740 eV per atom. Its offset from the most stable computed form is 1.234 eV/f.u.

# 5
First-principles (PBE-GGA) data for a relaxed TcPdRh6 crystal, as listed in Alexandria via LeMat-Bulk.

It has space group P4/mmm (No. 123), with a = 3.850 Å, b = 3.850 Å, c = 7.724 Å, α = 90.00°, β = 90.00° and γ = 90.00°. The asymmetric unit holds Tc at (0.000, 0.000, 0.000), Pd at (0.000, 0.000, 0.500), Rh at (0.000, 0.500, 0.242), Rh at (0.500, 0.500, 0.000) and Rh at (0.500, 0.500, 0.500).

The calculation puts the formation enthalpy at 0 K at -0.036 eV per atom.

# 6
First-principles (PBE-GGA) data for a relaxed Tc2C crystal, as listed in Alexandria via LeMat-Bulk.

It has space group I4/mmm (No. 139), with a = 2.717 Å, b = 2.717 Å, c = 9.150 Å, α = 90.00°, β = 90.00° and γ = 90.00°. The asymmetric unit holds Tc at (0.000, 0.000, 0.140) and C at (0.000, 0.000, 0.500).

The calculation puts the formation enthalpy at 0 K at 0.488 eV per atom. Its offset from the most stable computed form is 1.241 eV/f.u.

# 7
First-principles (PBE-GGA) data for a relaxed MgOs2Se crystal, as listed in Alexandria via LeMat-Bulk.

It has space group Pmm2 (No. 25), with a = 2.890 Å, b = 3.831 Å, c = 5.941 Å, α = 90.00°, β = 90.00° and γ = 90.00°. The asymmetric unit holds Mg at (0.000, 0.000, 0.000), Os at (0.000, 0.000, 0.473), Os at (0.500, 0.500, 0.264) and Se at (0.500, 0.500, 0.688).

As for the formation energy from raw total energies: 0.394 eV per atom. Its offset from the most stable computed form is 1.004 eV/f.u.

# 8
First-principles (PBE-GGA) data for a relaxed Ba5TmTe6 crystal, as listed in Alexandria via LeMat-Bulk.

It has space group C2/m (No. 12), with a = 8.449 Å, b = 14.609 Å, c = 8.428 Å, α = 90.00°, β = 109.63° and γ = 90.00°. The asymmetric unit holds Ba at (0.000, 0.000, 0.000), Ba at (0.000, 0.165, 0.500), Ba at (0.000, 0.327, 0.000), Tm at (0.000, 0.500, 0.500), Te at (0.224, 0.500, 0.264) and Te at (0.230, 0.347, 0.731).

As for the formation energy from raw total energies: -1.659 eV per atom.

Repeat the fourth record exactly.
First-principles (PBE-GGA) data for a relaxed Hg3IrC crystal, as listed in Alexandria via LeMat-Bulk.

It has space group Pm-3m (No. 221), with a = 5.264 Å, b = 5.264 Å, c = 5.264 Å, α = 90.00°, β = 90.00° and γ = 90.00°. The asymmetric unit holds Hg at (0.000, 0.000, 0.500), Ir at (0.000, 0.000, 0.000) and C at (0.500, 0.500, 0.500).

The calculation puts the formation enthalpy at 0 K at 1.740 eV per atom. Its offset from the most stable computed form is 1.234 eV/f.u.

Please write out number 4 again, unchanged.
First-principles (PBE-GGA) data for a relaxed Hg3IrC crystal, as listed in Alexandria via LeMat-Bulk.

It has space group Pm-3m (No. 221), with a = 5.264 Å, b = 5.264 Å, c = 5.264 Å, α = 90.00°, β = 90.00° and γ = 90.00°. The asymmetric unit holds Hg at (0.000, 0.000, 0.500), Ir at (0.000, 0.000, 0.000) and C at (0.500, 0.500, 0.500).

The calculation puts the formation enthalpy at 0 K at 1.740 eV per atom. Its offset from the most stable computed form is 1.234 eV/f.u.

What did the third record say?
First-principles (PBE-GGA) data for a relaxed Ba6Tl2Ga crystal, as listed in Alexandria via LeMat-Bulk.

It has space group P2_1/c (No. 14), with a = 8.098 Å, b = 9.576 Å, c = 13.073 Å, α = 90.00°, β = 119.78° and γ = 90.00°. The asymmetric unit holds Ba at (0.102, 0.039, 0.242), Ba at (0.215, 0.680, 0.067), Ba at (0.397, 0.174, 0.059), Tl at (0.309, 0.119, 0.755) and Ga at (0.500, 0.000, 0.500).

The calculation puts the formation enthalpy at 0 K at -0.205 eV per atom.